# PBE Ce2IrN, relaxed
# Fermi-level density of states = 26.8 states/eV per cell
# Symmetry = Pna2_1 (33)
# ΔE_f (raw) = -0.94 eV per atom
# Offset from the most stable computed form = 0 meV/atom
data_Ce2IrN
_chemical_formula_sum 'Ce8 Ir4 N4'
_cell_length_a 5.675
_cell_length_b 10.295
_cell_length_c 5.658
_cell_angle_alpha 90.00
_cell_angle_beta 90.00
_cell_angle_gamma 90.00
_symmetry_space_group_name_H-M 'P 1'
_symmetry_Int_Tables_number 1
loop_
_symmetry_equiv_pos_as_xyz
'x,y,z'
loop_
_atom_site_label
_atom_site_type_symbol
_atom_site_fract_x
_atom_site_fract_y
_atom_site_fract_z
_atom_site_occupancy
Ce1 Ce 0.006 0.103 0.000 1
Ce2 Ce 0.042 0.647 0.961 1
Ce3 Ce 0.458 0.147 0.461 1
Ce4 Ce 0.494 0.603 0.500 1
Ce5 Ce 0.506 0.397 0.000 1
Ce6 Ce 0.542 0.853 0.961 1
Ce7 Ce 0.958 0.353 0.461 1
Ce8 Ce 0.994 0.897 0.500 1
Ir1 Ir 0.006 0.375 0.961 1
Ir2 Ir 0.494 0.875 0.461 1
Ir3 Ir 0.506 0.125 0.961 1
Ir4 Ir 0.994 0.625 0.461 1
N1 N 0.040 0.125 0.421 1
N2 N 0.460 0.625 0.921 1
N3 N 0.540 0.375 0.421 1
N4 N 0.960 0.875 0.921 1

---

# PBE Ce2IrN, relaxed
# Fermi-level density of states = 5.4 states/eV per cell
# Symmetry = R-3m (166)
# ΔE_f (raw) = -0.93 eV per atom
# Offset from the most stable computed form = 13 meV/atom
data_Ce2IrN
_chemical_formula_sum 'Ce2 Ir1 N1'
_cell_length_a 6.992
_cell_length_b 6.992
_cell_length_c 6.992
_cell_angle_alpha 30.56
_cell_angle_beta 30.56
_cell_angle_gamma 30.56
_symmetry_space_group_name_H-M 'P 1'
_symmetry_Int_Tables_number 1
loop_
_symmetry_equiv_pos_as_xyz
'x,y,z'
loop_
_atom_site_label
_atom_site_type_symbol
_atom_site_fract_x
_atom_site_fract_y
_atom_site_fract_z
_atom_site_occupancy
Ce1 Ce 0.238 0.238 0.238 1
Ce2 Ce 0.762 0.762 0.762 1
Ir1 Ir 0.000 0.000 0.000 1
N1 N 0.500 0.500 0.500 1

---

# PBE Ce3Ir2N, relaxed
# Fermi-level density of states = 18.5 states/eV per cell
# Symmetry = C2/c (15)
# ΔE_f (raw) = -0.84 eV per atom
data_Ce3Ir2N
_chemical_formula_sum 'Ce6 Ir4 N2'
_cell_length_a 6.920
_cell_length_b 6.920
_cell_length_c 7.499
_cell_angle_alpha 105.80
_cell_angle_beta 105.80
_cell_angle_gamma 47.61
_symmetry_space_group_name_H-M 'P 1'
_symmetry_Int_Tables_number 1
loop_
_symmetry_equiv_pos_as_xyz
'x,y,z'
loop_
_atom_site_label
_atom_site_type_symbol
_atom_site_fract_x
_atom_site_fract_y
_atom_site_fract_z
_atom_site_occupancy
Ce1 Ce 0.023 0.977 0.750 1
Ce2 Ce 0.356 0.357 0.929 1
Ce3 Ce 0.357 0.356 0.429 1
Ce4 Ce 0.643 0.644 0.571 1
Ce5 Ce 0.644 0.643 0.071 1
Ce6 Ce 0.977 0.023 0.250 1
Ir1 Ir 0.169 0.170 0.585 1
Ir2 Ir 0.170 0.169 0.085 1
Ir3 Ir 0.830 0.831 0.915 1
Ir4 Ir 0.831 0.830 0.415 1
N1 N 0.467 0.533 0.750 1
N2 N 0.533 0.467 0.250 1

---

# PBE CeIrN, relaxed
# Fermi-level density of states = 12.5 states/eV per cell
# Symmetry = Fddd (70)
# ΔE_f (raw) = -0.64 eV per atom
data_CeIrN
_chemical_formula_sum 'Ce4 Ir4 N4'
_cell_length_a 7.205
_cell_length_b 6.888
_cell_length_c 5.773
_cell_angle_alpha 68.73
_cell_angle_beta 62.97
_cell_angle_gamma 48.30
_symmetry_space_group_name_H-M 'P 1'
_symmetry_Int_Tables_number 1
loop_
_symmetry_equiv_pos_as_xyz
'x,y,z'
loop_
_atom_site_label
_atom_site_type_symbol
_atom_site_fract_x
_atom_site_fract_y
_atom_site_fract_z
_atom_site_occupancy
Ce1 Ce 0.038 0.038 0.712 1
Ce2 Ce 0.288 0.288 0.962 1
Ce3 Ce 0.712 0.712 0.038 1
Ce4 Ce 0.962 0.962 0.288 1
Ir1 Ir 0.000 0.500 0.500 1
Ir2 Ir 0.500 0.000 0.500 1
Ir3 Ir 0.500 0.500 0.000 1
Ir4 Ir 0.500 0.500 0.500 1
N1 N 0.099 0.651 0.651 1
N2 N 0.349 0.901 0.901 1
N3 N 0.651 0.099 0.099 1
N4 N 0.901 0.349 0.349 1

---

# PBE Ce3IrN2, relaxed
# Fermi-level density of states = 11.3 states/eV per cell
# Symmetry = Immm (71)
# ΔE_f (raw) = -1.02 eV per atom
data_Ce3IrN2
_chemical_formula_sum 'Ce3 Ir1 N2'
_cell_length_a 6.638
_cell_length_b 6.638
_cell_length_c 6.638
_cell_angle_alpha 148.57
_cell_angle_beta 131.62
_cell_angle_gamma 58.84
_symmetry_space_group_name_H-M 'P 1'
_symmetry_Int_Tables_number 1
loop_
_symmetry_equiv_pos_as_xyz
'x,y,z'
loop_
_atom_site_label
_atom_site_type_symbol
_atom_site_fract_x
_atom_site_fract_y
_atom_site_fract_z
_atom_site_occupancy
Ce1 Ce 0.000 0.000 0.000 1
Ce2 Ce 0.311 0.311 0.000 1
Ce3 Ce 0.689 0.689 0.000 1
Ir1 Ir 0.500 0.000 0.500 1
N1 N 0.172 0.672 0.500 1
N2 N 0.828 0.328 0.500 1

---

# PBE Ce4Ir2N, relaxed
# Fermi-level density of states = 16.2 states/eV per cell
# Symmetry = I4/mmm (139)
# ΔE_f (raw) = -0.76 eV per atom
data_Ce4Ir2N
_chemical_formula_sum 'Ce4 Ir2 N1'
_cell_length_a 7.804
_cell_length_b 7.804
_cell_length_c 7.804
_cell_angle_alpha 144.44
_cell_angle_beta 144.44
_cell_angle_gamma 51.17
_symmetry_space_group_name_H-M 'P 1'
_symmetry_Int_Tables_number 1
loop_
_symmetry_equiv_pos_as_xyz
'x,y,z'
loop_
_atom_site_label
_atom_site_type_symbol
_atom_site_fract_x
_atom_site_fract_y
_atom_site_fract_z
_atom_site_occupancy
Ce1 Ce 0.000 0.500 0.500 1
Ce2 Ce 0.184 0.184 0.000 1
Ce3 Ce 0.500 0.000 0.500 1
Ce4 Ce 0.816 0.816 0.000 1
Ir1 Ir 0.364 0.364 0.000 1
Ir2 Ir 0.636 0.636 0.000 1
N1 N 0.000 0.000 0.000 1

---

# PBE Ce2IrN, relaxed
# Fermi-level density of states = 7.2 states/eV per cell
# Symmetry = P4/mmm (123)
# ΔE_f (raw) = -0.70 eV per atom
# Offset from the most stable computed form = 238 meV/atom
data_Ce2IrN
_chemical_formula_sum 'Ce2 Ir1 N1'
_cell_length_a 3.086
_cell_length_b 3.086
_cell_length_c 7.151
_cell_angle_alpha 90.00
_cell_angle_beta 90.00
_cell_angle_gamma 90.00
_symmetry_space_group_name_H-M 'P 1'
_symmetry_Int_Tables_number 1
loop_
_symmetry_equiv_pos_as_xyz
'x,y,z'
loop_
_atom_site_label
_atom_site_type_symbol
_atom_site_fract_x
_atom_site_fract_y
_atom_site_fract_z
_atom_site_occupancy
Ce1 Ce 0.000 0.000 0.209 1
Ce2 Ce 0.000 0.000 0.791 1
Ir1 Ir 0.500 0.500 0.500 1
N1 N 0.500 0.500 0.000 1

---

# PBE Ce2NbIrN5, relaxed
# Fermi-level density of states = 5.2 states/eV per cell
# Symmetry = Cmc2_1 (36)
# ΔE_f (raw) = -0.89 eV per atom
data_Ce2NbIrN5
_chemical_formula_sum 'Ce4 Nb2 Ir2 N10'
_cell_length_a 6.746
_cell_length_b 6.746
_cell_length_c 10.548
_cell_angle_alpha 90.00
_cell_angle_beta 90.00
_cell_angle_gamma 151.95
_symmetry_space_group_name_H-M 'P 1'
_symmetry_Int_Tables_number 1
loop_
_symmetry_equiv_pos_as_xyz
'x,y,z'
loop_
_atom_site_label
_atom_site_type_symbol
_atom_site_fract_x
_atom_site_fract_y
_atom_site_fract_z
_atom_site_occupancy
Ce1 Ce 0.104 0.896 0.500 1
Ce2 Ce 0.146 0.854 0.116 1
Ce3 Ce 0.854 0.146 0.616 1
Ce4 Ce 0.896 0.104 0.000 1
Nb1 Nb 0.206 0.794 0.825 1
Nb2 Nb 0.794 0.206 0.325 1
Ir1 Ir 0.474 0.526 0.267 1
Ir2 Ir 0.526 0.474 0.767 1
N1 N 0.055 0.945 0.889 1
N2 N 0.278 0.722 0.463 1
N3 N 0.321 0.679 0.185 1
N4 N 0.366 0.634 0.806 1
N5 N 0.486 0.514 0.586 1
N6 N 0.514 0.486 0.086 1
N7 N 0.634 0.366 0.306 1
N8 N 0.679 0.321 0.685 1
N9 N 0.722 0.278 0.963 1
N10 N 0.945 0.055 0.389 1